Model A:
# CsDy PBE relaxed
data_CsDy
_chemical_formula_sum 'Cs4 Dy4'
_symmetry_space_group_name_H-M 'F m -3 m'
_symmetry_Int_Tables_number 225
_symmetry_space_group_name_Hall '-F 4 2 3'
_cell_length_a 7.644
_cell_length_b 7.644
_cell_length_c 7.644
_cell_angle_alpha 90.00
_cell_angle_beta 90.00
_cell_angle_gamma 90.00
loop_
_atom_site_label
_atom_site_type_symbol
_atom_site_fract_x
_atom_site_fract_y
_atom_site_fract_z
Cs1 Cs 0.000 0.000 0.000
Dy1 Dy 0.000 0.000 0.500
# total magnetic moment	0.125	Bohr magnetons per cell

***

Model B:
# CsDy PBE relaxed
data_CsDy
_chemical_formula_sum 'Cs4 Dy4'
_symmetry_space_group_name_H-M 'F -4 3 m'
_symmetry_Int_Tables_number 216
_symmetry_space_group_name_Hall 'F -4 2 3'
_cell_length_a 9.036
_cell_length_b 9.036
_cell_length_c 9.036
_cell_angle_alpha 90.00
_cell_angle_beta 90.00
_cell_angle_gamma 90.00
loop_
_atom_site_label
_atom_site_type_symbol
_atom_site_fract_x
_atom_site_fract_y
_atom_site_fract_z
Cs1 Cs 0.000 0.000 0.000
Dy1 Dy 0.250 0.250 0.750
# total magnetic moment	7.991	Bohr magnetons per cell

***

Each structure's energy above the most stable one, in kJ/mol of atoms: model A 0.0; model B 43.0.

***

Model A:
# CsDyEr PBE relaxed
data_CsDyEr
_chemical_formula_sum 'Cs4 Dy4 Er4'
_symmetry_space_group_name_H-M 'F -4 3 m'
_symmetry_Int_Tables_number 216
_symmetry_space_group_name_Hall 'F -4 2 3'
_cell_length_a 8.539
_cell_length_b 8.539
_cell_length_c 8.539
_cell_angle_alpha 90.00
_cell_angle_beta 90.00
_cell_angle_gamma 90.00
loop_
_atom_site_label
_atom_site_type_symbol
_atom_site_fract_x
_atom_site_fract_y
_atom_site_fract_z
Cs1 Cs 0.000 0.000 0.000
Dy1 Dy 0.000 0.000 0.500
Er1 Er 0.250 0.250 0.250
# total magnetic moment	12.878	Bohr magnetons per cell

***

Model B:
# CsDyEr PBE relaxed
data_CsDyEr
_chemical_formula_sum 'Cs4 Dy4 Er4'
_symmetry_space_group_name_H-M 'F -4 3 m'
_symmetry_Int_Tables_number 216
_symmetry_space_group_name_Hall 'F -4 2 3'
_cell_length_a 7.813
_cell_length_b 7.813
_cell_length_c 7.813
_cell_angle_alpha 90.00
_cell_angle_beta 90.00
_cell_angle_gamma 90.00
loop_
_atom_site_label
_atom_site_type_symbol
_atom_site_fract_x
_atom_site_fract_y
_atom_site_fract_z
Cs1 Cs 0.000 0.000 0.000
Dy1 Dy 0.250 0.250 0.250
Er1 Er 0.250 0.250 0.750
# total magnetic moment	0.038	Bohr magnetons per cell

***

Each structure's energy above the most stable one, in kJ/mol of atoms: model A 0.0; model B 1.5.

***

Model A:
# CsRb2DyF6 PBE relaxed
data_CsRb2DyF6
_chemical_formula_sum 'Cs1 Rb2 Dy1 F6'
_symmetry_space_group_name_H-M 'P -1'
_symmetry_Int_Tables_number 2
_cell_length_a 6.392
_cell_length_b 6.407
_cell_length_c 6.684
_cell_angle_alpha 90.52
_cell_angle_beta 117.88
_cell_angle_gamma 119.72
loop_
_symmetry_equiv_pos_as_xyz
'x,y,z'
'-x,-y,-z'
loop_
_atom_site_label
_atom_site_type_symbol
_atom_site_fract_x
_atom_site_fract_y
_atom_site_fract_z
Cs1 Cs 0.000 0.000 0.000
Rb1 Rb 0.488 0.249 0.733
Dy1 Dy 0.000 0.500 0.500
F1 F 0.026 0.816 0.376
F2 F 0.125 0.697 0.841
F3 F 0.443 0.653 0.633
# total magnetic moment	0.000	Bohr magnetons per cell

***

Model B:
# CsRb2DyF6 PBE relaxed
data_CsRb2DyF6
_chemical_formula_sum 'Cs4 Rb8 Dy4 F24'
_symmetry_space_group_name_H-M 'F m -3 m'
_symmetry_Int_Tables_number 225
_symmetry_space_group_name_Hall '-F 4 2 3'
_cell_length_a 9.515
_cell_length_b 9.515
_cell_length_c 9.515
_cell_angle_alpha 90.00
_cell_angle_beta 90.00
_cell_angle_gamma 90.00
loop_
_atom_site_label
_atom_site_type_symbol
_atom_site_fract_x
_atom_site_fract_y
_atom_site_fract_z
Cs1 Cs 0.000 0.000 0.000
Rb1 Rb 0.250 0.250 0.250
Dy1 Dy 0.000 0.000 0.500
F1 F 0.000 0.000 0.276
# total magnetic moment	0.001	Bohr magnetons per cell

***

Each structure's energy above the most stable one, in kJ/mol of atoms: model A 0.0; model B 6.4.

***

Model A:
# CsDyHf PBE relaxed
data_CsDyHf
_chemical_formula_sum 'Cs4 Dy4 Hf4'
_symmetry_space_group_name_H-M 'F -4 3 m'
_symmetry_Int_Tables_number 216
_symmetry_space_group_name_Hall 'F -4 2 3'
_cell_length_a 7.383
_cell_length_b 7.383
_cell_length_c 7.383
_cell_angle_alpha 90.00
_cell_angle_beta 90.00
_cell_angle_gamma 90.00
loop_
_atom_site_label
_atom_site_type_symbol
_atom_site_fract_x
_atom_site_fract_y
_atom_site_fract_z
Cs1 Cs 0.000 0.000 0.000
Dy1 Dy 0.250 0.250 0.250
Hf1 Hf 0.250 0.250 0.750
# total magnetic moment	0.023	Bohr magnetons per cell

***

Model B:
# CsDyHf PBE relaxed
data_CsDyHf
_chemical_formula_sum 'Cs4 Dy4 Hf4'
_symmetry_space_group_name_H-M 'F -4 3 m'
_symmetry_Int_Tables_number 216
_symmetry_space_group_name_Hall 'F -4 2 3'
_cell_length_a 8.049
_cell_length_b 8.049
_cell_length_c 8.049
_cell_angle_alpha 90.00
_cell_angle_beta 90.00
_cell_angle_gamma 90.00
loop_
_atom_site_label
_atom_site_type_symbol
_atom_site_fract_x
_atom_site_fract_y
_atom_site_fract_z
Cs1 Cs 0.000 0.000 0.000
Dy1 Dy 0.000 0.000 0.500
Hf1 Hf 0.250 0.250 0.250
# total magnetic moment	16.880	Bohr magnetons per cell

***

Each structure's energy above the most stable one, in kJ/mol of atoms: model A 12.6; model B 0.0.